Record 1
! TcB3Os (PBE, optimized geometry); values from VASP
! DFT formation energy, eV per atom: 1.2738
! Energy, eV per atom: -7.0518
&SYSTEM
  ibrav = 0, nat = 5, ntyp = 3
/
ATOMIC_SPECIES
Tc 98.00 Tc.upf
B 10.81 B.upf
Os 190.23 Os.upf
CELL_PARAMETERS angstrom
4.042 0.000 0.000
0.000 4.042 0.000
0.000 0.000 4.042
ATOMIC_POSITIONS crystal
Tc 0.000 0.000 0.000
B 0.000 0.500 0.500
B 0.500 0.000 0.500
B 0.500 0.500 0.000
Os 0.500 0.500 0.500

Record 2
! HfCoHg2 (PBE, optimized geometry); values from VASP
! DFT formation energy, eV per atom: 0.4634
! Energy, eV per atom: -3.9523
&SYSTEM
  ibrav = 0, nat = 16, ntyp = 3
/
ATOMIC_SPECIES
Hf 178.49 Hf.upf
Co 58.93 Co.upf
Hg 200.59 Hg.upf
CELL_PARAMETERS angstrom
7.627 0.000 0.000
0.000 7.627 0.000
0.000 0.000 5.537
ATOMIC_POSITIONS crystal
Hf 0.000 0.000 0.000
Hf 0.000 0.500 0.250
Hf 0.500 0.000 0.750
Hf 0.500 0.500 0.500
Co 0.000 0.000 0.500
Co 0.000 0.500 0.750
Co 0.500 0.000 0.250
Co 0.500 0.500 0.000
Hg 0.210 0.250 0.625
Hg 0.250 0.710 0.875
Hg 0.250 0.790 0.375
Hg 0.290 0.250 0.125
Hg 0.710 0.750 0.125
Hg 0.750 0.210 0.375
Hg 0.750 0.290 0.875
Hg 0.790 0.750 0.625

Record 3
! Sm3Al2Sn3 (PBE, optimized geometry); values from VASP
! DFT formation energy, eV per atom: -0.5941
! Energy, eV per atom: -4.8005
&SYSTEM
  ibrav = 0, nat = 16, ntyp = 3
/
ATOMIC_SPECIES
Sm 150.36 Sm.upf
Al 26.98 Al.upf
Sn 118.71 Sn.upf
CELL_PARAMETERS angstrom
2.229 -5.832 0.000
2.229 5.832 0.000
0.000 0.000 15.753
ATOMIC_POSITIONS crystal
Sm 0.060 0.940 0.612
Sm 0.060 0.940 0.888
Sm 0.344 0.656 0.750
Sm 0.656 0.344 0.250
Sm 0.940 0.060 0.112
Sm 0.940 0.060 0.388
Al 0.223 0.777 0.116
Al 0.223 0.777 0.384
Al 0.777 0.223 0.616
Al 0.777 0.223 0.884
Sn 0.373 0.627 0.538
Sn 0.373 0.627 0.962
Sn 0.380 0.620 0.250
Sn 0.620 0.380 0.750
Sn 0.627 0.373 0.038
Sn 0.627 0.373 0.462

Record 4
! RbCrSnGe2 (PBE, optimized geometry); values from VASP
! DFT formation energy, eV per atom: 0.5910
! Energy, eV per atom: -4.1747
&SYSTEM
  ibrav = 0, nat = 5, ntyp = 4
/
ATOMIC_SPECIES
Rb 85.47 Rb.upf
Cr 52.00 Cr.upf
Sn 118.71 Sn.upf
Ge 72.64 Ge.upf
CELL_PARAMETERS angstrom
4.902 0.000 0.000
0.000 4.902 0.000
0.000 0.000 5.783
ATOMIC_POSITIONS crystal
Rb 0.000 0.000 0.000
Cr 0.000 0.000 0.500
Sn 0.500 0.500 0.000
Ge 0.000 0.500 0.500
Ge 0.500 0.000 0.500

Record 5
! LaTaSeN2 (PBE, optimized geometry); values from VASP
! Energy, eV per atom: -8.2440
! Energy relative to the elements, uncorrected, eV/atom: -0.861
&SYSTEM
  ibrav = 0, nat = 5, ntyp = 4
/
ATOMIC_SPECIES
La 138.91 La.upf
Ta 180.95 Ta.upf
Se 78.96 Se.upf
N 14.01 N.upf
CELL_PARAMETERS angstrom
4.160 0.000 0.000
0.000 4.160 0.000
0.000 0.000 5.073
ATOMIC_POSITIONS crystal
La 0.000 0.000 0.000
Ta 0.500 0.500 0.500
Se 0.500 0.500 0.000
N 0.000 0.500 0.500
N 0.500 0.000 0.500

Record 6
! PuZrTc (PBE, optimized geometry); values from VASP
! DFT formation energy, eV per atom: 0.0022
! Energy, eV per atom: -11.0798
&SYSTEM
  ibrav = 0, nat = 6, ntyp = 3
/
ATOMIC_SPECIES
Pu 244.00 Pu.upf
Zr 91.22 Zr.upf
Tc 98.00 Tc.upf
CELL_PARAMETERS angstrom
4.538 0.000 0.000
-2.269 3.930 0.000
0.000 0.000 6.886
ATOMIC_POSITIONS crystal
Pu 0.333 0.667 0.250
Pu 0.667 0.333 0.750
Zr 0.000 0.000 0.000
Zr 0.000 0.000 0.500
Tc 0.333 0.667 0.750
Tc 0.667 0.333 0.250

Record 7
! TlSiPb2 (PBE, optimized geometry); values from VASP
! Energy, eV per atom: -3.5097
! Energy relative to the elements, uncorrected, eV/atom: 0.292
&SYSTEM
  ibrav = 0, nat = 8, ntyp = 3
/
ATOMIC_SPECIES
Tl 204.38 Tl.upf
Si 28.09 Si.upf
Pb 207.20 Pb.upf
CELL_PARAMETERS angstrom
3.616 0.000 0.000
0.000 5.396 0.000
0.000 0.000 11.472
ATOMIC_POSITIONS crystal
Tl 0.000 0.000 0.000
Tl 0.500 0.500 0.500
Si 0.000 0.500 0.286
Si 0.500 0.000 0.786
Pb 0.000 0.000 0.586
Pb 0.000 0.500 0.787
Pb 0.500 0.000 0.287
Pb 0.500 0.500 0.086

Record 8
! Ce3Mg5O12 (PBE, optimized geometry); values from VASP
! Energy, eV per atom: -6.9461
! Energy relative to the elements, uncorrected, eV/atom: -2.682
&SYSTEM
  ibrav = 0, nat = 80, ntyp = 3
/
ATOMIC_SPECIES
Ce 140.12 Ce.upf
Mg 24.30 Mg.upf
O 16.00 O.upf
CELL_PARAMETERS angstrom
-6.323 6.323 6.323
6.323 -6.323 6.323
6.323 6.323 -6.323
ATOMIC_POSITIONS crystal
Ce 0.125 0.250 0.375
Ce 0.125 0.375 0.750
Ce 0.250 0.375 0.125
Ce 0.250 0.875 0.625
Ce 0.375 0.125 0.250
Ce 0.375 0.750 0.125
Ce 0.625 0.250 0.875
Ce 0.625 0.875 0.750
Ce 0.750 0.125 0.375
Ce 0.750 0.625 0.875
Ce 0.875 0.625 0.250
Ce 0.875 0.750 0.625
Mg 0.000 0.000 0.000
Mg 0.000 0.000 0.500
Mg 0.000 0.500 0.000
Mg 0.000 0.500 0.500
Mg 0.125 0.750 0.875
Mg 0.125 0.875 0.250
Mg 0.250 0.125 0.875
Mg 0.250 0.625 0.375
Mg 0.375 0.250 0.625
Mg 0.375 0.625 0.750
Mg 0.500 0.000 0.000
Mg 0.500 0.000 0.500
Mg 0.500 0.500 0.000
Mg 0.500 0.500 0.500
Mg 0.625 0.375 0.250
Mg 0.625 0.750 0.375
Mg 0.750 0.375 0.625
Mg 0.750 0.875 0.125
Mg 0.875 0.125 0.750
Mg 0.875 0.250 0.125
O 0.040 0.215 0.131
O 0.040 0.324 0.909
O 0.085 0.715 0.676
O 0.085 0.869 0.409
O 0.091 0.631 0.415
O 0.091 0.960 0.676
O 0.131 0.040 0.215
O 0.131 0.591 0.915
O 0.176 0.215 0.585
O 0.176 0.460 0.591
O 0.215 0.131 0.040
O 0.215 0.585 0.176
O 0.285 0.324 0.915
O 0.285 0.460 0.369
O 0.324 0.909 0.040
O 0.324 0.915 0.285
O 0.369 0.285 0.460
O 0.369 0.585 0.909
O 0.409 0.085 0.869
O 0.409 0.824 0.540
O 0.415 0.091 0.631
O 0.415 0.824 0.785
O 0.460 0.369 0.285
O 0.460 0.591 0.176
O 0.540 0.409 0.824
O 0.540 0.631 0.715
O 0.585 0.176 0.215
O 0.585 0.909 0.369
O 0.591 0.176 0.460
O 0.591 0.915 0.131
O 0.631 0.415 0.091
O 0.631 0.715 0.540
O 0.676 0.085 0.715
O 0.676 0.091 0.960
O 0.715 0.540 0.631
O 0.715 0.676 0.085
O 0.785 0.415 0.824
O 0.785 0.869 0.960
O 0.824 0.540 0.409
O 0.824 0.785 0.415
O 0.869 0.409 0.085
O 0.869 0.960 0.785
O 0.909 0.040 0.324
O 0.909 0.369 0.585
O 0.915 0.131 0.591
O 0.915 0.285 0.324
O 0.960 0.676 0.091
O 0.960 0.785 0.869

Record 9
! Ag3MoAu (PBE, optimized geometry); values from VASP
! DFT formation energy, eV per atom: 1.3020
! Energy, eV per atom: -3.2305
&SYSTEM
  ibrav = 0, nat = 5, ntyp = 3
/
ATOMIC_SPECIES
Ag 107.87 Ag.upf
Mo 95.94 Mo.upf
Au 196.97 Au.upf
CELL_PARAMETERS angstrom
5.108 0.000 0.000
0.000 5.108 0.000
0.000 0.000 5.108
ATOMIC_POSITIONS crystal
Ag 0.000 0.000 0.500
Ag 0.000 0.500 0.000
Ag 0.500 0.000 0.000
Mo 0.500 0.500 0.500
Au 0.000 0.000 0.000

Record 10
! PrTm2Ru (PBE, optimized geometry); values from VASP
! DFT formation energy, eV per atom: -0.2941
! Energy, eV per atom: -6.0437
&SYSTEM
  ibrav = 0, nat = 16, ntyp = 3
/
ATOMIC_SPECIES
Pr 140.91 Pr.upf
Tm 168.93 Tm.upf
Ru 101.07 Ru.upf
CELL_PARAMETERS angstrom
7.350 0.000 0.000
0.000 9.151 0.000
0.000 0.000 6.383
ATOMIC_POSITIONS crystal
Pr 0.040 0.250 0.131
Pr 0.460 0.750 0.631
Pr 0.540 0.250 0.369
Pr 0.960 0.750 0.869
Tm 0.176 0.066 0.665
Tm 0.176 0.434 0.665
Tm 0.324 0.566 0.165
Tm 0.324 0.934 0.165
Tm 0.676 0.066 0.835
Tm 0.676 0.434 0.835
Tm 0.824 0.566 0.335
Tm 0.824 0.934 0.335
Ru 0.115 0.750 0.443
Ru 0.385 0.250 0.943
Ru 0.615 0.750 0.057
Ru 0.885 0.250 0.557

Record 11
! Hf2NbRu (PBE, optimized geometry); values from VASP
! DFT formation energy, eV per atom: -0.3566
! Energy, eV per atom: -10.1697
&SYSTEM
  ibrav = 0, nat = 4, ntyp = 3
/
ATOMIC_SPECIES
Hf 178.49 Hf.upf
Nb 92.91 Nb.upf
Ru 101.07 Ru.upf
CELL_PARAMETERS angstrom
3.241 0.000 0.000
0.000 3.241 0.000
0.000 0.000 7.072
ATOMIC_POSITIONS crystal
Hf 0.000 0.000 0.229
Hf 0.000 0.000 0.771
Nb 0.500 0.500 0.500
Ru 0.500 0.500 0.000

Record 12
! BiPAuS (PBE, optimized geometry); values from VASP
! Energy, eV per atom: -4.1317
! Energy relative to the elements, uncorrected, eV/atom: 0.042
&SYSTEM
  ibrav = 0, nat = 8, ntyp = 4
/
ATOMIC_SPECIES
Bi 208.98 Bi.upf
P 30.97 P.upf
Au 196.97 Au.upf
S 32.06 S.upf
CELL_PARAMETERS angstrom
12.058 0.000 0.000
0.000 3.167 0.000
-2.251 0.000 5.594
ATOMIC_POSITIONS crystal
Bi 0.000 0.000 0.000
Bi 0.500 0.500 0.000
P 0.217 0.000 0.376
P 0.717 0.500 0.376
Au 0.374 0.000 0.235
Au 0.874 0.500 0.235
S 0.211 0.500 0.619
S 0.711 0.000 0.619

Record 13
! Sb3RhC (PBE, optimized geometry); values from VASP
! Energy, eV per atom: -4.8017
! Energy relative to the elements, uncorrected, eV/atom: 0.987
&SYSTEM
  ibrav = 0, nat = 5, ntyp = 3
/
ATOMIC_SPECIES
Sb 121.76 Sb.upf
Rh 102.91 Rh.upf
C 12.01 C.upf
CELL_PARAMETERS angstrom
4.608 0.000 0.000
0.000 4.608 0.000
0.000 0.000 4.608
ATOMIC_POSITIONS crystal
Sb 0.000 0.000 0.500
Sb 0.000 0.500 0.000
Sb 0.500 0.000 0.000
Rh 0.500 0.500 0.500
C 0.000 0.000 0.000

Record 14
! KNaAsBr2 (PBE, optimized geometry); values from VASP
! Energy, eV per atom: -2.3853
! Energy relative to the elements, uncorrected, eV/atom: -0.303
&SYSTEM
  ibrav = 0, nat = 5, ntyp = 4
/
ATOMIC_SPECIES
K 39.10 K.upf
Na 22.99 Na.upf
As 74.92 As.upf
Br 79.90 Br.upf
CELL_PARAMETERS angstrom
6.202 0.000 0.000
0.000 6.202 0.000
0.000 0.000 6.158
ATOMIC_POSITIONS crystal
K 0.000 0.000 0.000
Na 0.500 0.500 0.500
As 0.000 0.000 0.500
Br 0.000 0.500 0.000
Br 0.500 0.000 0.000

Record 15
! In2BiS (PBE, optimized geometry); values from VASP
! Energy, eV per atom: -3.4842
! Energy relative to the elements, uncorrected, eV/atom: -0.113
&SYSTEM
  ibrav = 0, nat = 16, ntyp = 3
/
ATOMIC_SPECIES
In 114.82 In.upf
Bi 208.98 Bi.upf
S 32.06 S.upf
CELL_PARAMETERS angstrom
6.512 0.000 0.000
0.000 6.512 0.000
0.000 0.000 13.395
ATOMIC_POSITIONS crystal
In 0.216 0.250 0.125
In 0.250 0.716 0.375
In 0.250 0.784 0.875
In 0.284 0.250 0.625
In 0.716 0.750 0.625
In 0.750 0.216 0.875
In 0.750 0.284 0.375
In 0.784 0.750 0.125
Bi 0.000 0.000 0.500
Bi 0.000 0.500 0.750
Bi 0.500 0.000 0.250
Bi 0.500 0.500 0.000
S 0.000 0.000 0.000
S 0.000 0.500 0.250
S 0.500 0.000 0.750
S 0.500 0.500 0.500

Record 16
! Ti8N3O (PBE, optimized geometry); values from VASP
! Energy, eV per atom: -9.1688
! Energy relative to the elements, uncorrected, eV/atom: -1.411
&SYSTEM
  ibrav = 0, nat = 12, ntyp = 3
/
ATOMIC_SPECIES
Ti 47.87 Ti.upf
N 14.01 N.upf
O 16.00 O.upf
CELL_PARAMETERS angstrom
4.794 -3.034 0.000
4.794 3.034 0.000
-4.424 0.000 5.122
ATOMIC_POSITIONS crystal
Ti 0.214 0.214 0.179
Ti 0.214 0.722 0.687
Ti 0.278 0.786 0.313
Ti 0.281 0.281 0.816
Ti 0.719 0.719 0.184
Ti 0.722 0.214 0.687
Ti 0.786 0.278 0.313
Ti 0.786 0.786 0.821
N 0.000 0.000 0.500
N 0.000 0.500 0.000
N 0.500 0.000 0.000
O 0.500 0.500 0.500

Record 17
! ZnCr2Fe (PBE, optimized geometry); values from VASP
! DFT formation energy, eV per atom: 0.1330
! Energy, eV per atom: -7.1129
&SYSTEM
  ibrav = 0, nat = 4, ntyp = 3
/
ATOMIC_SPECIES
Zn 65.41 Zn.upf
Cr 52.00 Cr.upf
Fe 55.84 Fe.upf
CELL_PARAMETERS angstrom
2.939 0.000 0.000
0.000 2.939 0.000
0.000 0.000 5.689
ATOMIC_POSITIONS crystal
Zn 0.000 0.000 0.000
Cr 0.000 0.000 0.506
Cr 0.500 0.500 0.278
Fe 0.500 0.500 0.744

Record 18
! LaAg2Pt (PBE, optimized geometry); values from VASP
! DFT formation energy, eV per atom: -0.2528
! Energy, eV per atom: -4.4205
&SYSTEM
  ibrav = 0, nat = 4, ntyp = 3
/
ATOMIC_SPECIES
La 138.91 La.upf
Ag 107.87 Ag.upf
Pt 195.08 Pt.upf
CELL_PARAMETERS angstrom
3.168 0.000 0.000
0.000 4.663 0.000
0.000 0.000 5.684
ATOMIC_POSITIONS crystal
La 0.000 0.000 0.000
Ag 0.500 0.500 0.265
Ag 0.500 0.500 0.735
Pt 0.000 0.000 0.500

Record 19
! Pm2Dy2Se3 (PBE, optimized geometry); values from VASP
! Energy, eV per atom: -5.6764
! Energy relative to the elements, uncorrected, eV/atom: -1.511
&SYSTEM
  ibrav = 0, nat = 7, ntyp = 3
/
ATOMIC_SPECIES
Pm 145.00 Pm.upf
Dy 162.50 Dy.upf
Se 78.96 Se.upf
CELL_PARAMETERS angstrom
4.015 0.000 0.000
-2.001 6.753 0.000
-0.003 -1.173 7.011
ATOMIC_POSITIONS crystal
Pm 0.121 0.239 0.386
Pm 0.879 0.761 0.614
Dy 0.374 0.747 0.123
Dy 0.626 0.253 0.877
Se 0.000 0.000 0.000
Se 0.253 0.506 0.758
Se 0.747 0.494 0.242

Record 20
! CuAg2Br (PBE, optimized geometry); values from VASP
! Energy, eV per atom: -2.7290
! Energy relative to the elements, uncorrected, eV/atom: 0.139
&SYSTEM
  ibrav = 0, nat = 8, ntyp = 3
/
ATOMIC_SPECIES
Cu 63.55 Cu.upf
Ag 107.87 Ag.upf
Br 79.90 Br.upf
CELL_PARAMETERS angstrom
3.250 0.000 0.000
0.000 4.201 0.000
0.000 0.000 12.159
ATOMIC_POSITIONS crystal
Cu 0.000 0.000 0.000
Cu 0.500 0.500 0.500
Ag 0.000 0.000 0.538
Ag 0.000 0.500 0.686
Ag 0.500 0.000 0.186
Ag 0.500 0.500 0.038
Br 0.000 0.500 0.329
Br 0.500 0.000 0.829

Record 21
! SmEr4Au2 (PBE, optimized geometry); values from VASP
! DFT formation energy, eV per atom: -0.2737
! Energy, eV per atom: -4.4916
&SYSTEM
  ibrav = 0, nat = 7, ntyp = 3
/
ATOMIC_SPECIES
Sm 150.36 Sm.upf
Er 167.26 Er.upf
Au 196.97 Au.upf
CELL_PARAMETERS angstrom
2.433 1.405 10.244
-2.433 1.405 10.244
0.000 -2.810 10.244
ATOMIC_POSITIONS crystal
Sm 0.000 0.000 0.000
Er 0.201 0.201 0.201
Er 0.400 0.400 0.400
Er 0.600 0.600 0.600
Er 0.799 0.799 0.799
Au 0.103 0.103 0.103
Au 0.897 0.897 0.897

Record 22
! LaHo2Se3 (PBE, optimized geometry); values from VASP
! Energy, eV per atom: -5.8902
! Energy relative to the elements, uncorrected, eV/atom: -1.801
&SYSTEM
  ibrav = 0, nat = 12, ntyp = 3
/
ATOMIC_SPECIES
La 138.91 La.upf
Ho 164.93 Ho.upf
Se 78.96 Se.upf
CELL_PARAMETERS angstrom
4.112 0.000 0.000
0.000 5.880 0.000
0.000 0.000 12.495
ATOMIC_POSITIONS crystal
La 0.000 0.000 0.000
La 0.500 0.500 0.500
Ho 0.000 0.000 0.340
Ho 0.000 0.000 0.660
Ho 0.500 0.500 0.160
Ho 0.500 0.500 0.840
Se 0.000 0.500 0.000
Se 0.000 0.500 0.321
Se 0.000 0.500 0.679
Se 0.500 0.000 0.179
Se 0.500 0.000 0.500
Se 0.500 0.000 0.821